# Be2OsPb PBE optimized geometry
data_Be2OsPb
_chemical_formula_sum 'Be2 Os1 Pb1'
_space_group_name_H-M_alt 'P 4 m m'
_space_group_IT_number 99
_cell_length_a 3.160
_cell_length_b 3.160
_cell_length_c 5.967
_cell_angle_alpha 90.00
_cell_angle_beta 90.00
_cell_angle_gamma 90.00
loop_
_space_group_symop_operation_xyz
'x,y,z'
'-y,x,z'
'-x,-y,z'
'y,-x,z'
'-x,y,z'
'y,x,z'
'x,-y,z'
'-y,-x,z'
loop_
_atom_site_label
_atom_site_fract_x
_atom_site_fract_y
_atom_site_fract_z
Be1 0.000 0.000 0.000
Be2 0.500 0.500 0.213
Os1 0.000 0.000 0.358
Pb1 0.500 0.500 0.696
# Energy in eV/atom: -5.158
# Energy of formation in eV per atom: 0.440